# ScMn2O, relaxed, DFT PBE with a Hubbard U
data_ScMn2O
_chemical_formula_sum 'Sc4 Mn8 O4'
_symmetry_space_group_name_H-M 'I -4 2 d'
_symmetry_Int_Tables_number 122
_symmetry_space_group_name_Hall 'I -4 2bw'
_cell_length_a 6.289
_cell_length_b 6.289
_cell_length_c 8.365
_cell_angle_alpha 90.00
_cell_angle_beta 90.00
_cell_angle_gamma 90.00
loop_
_atom_site_label
_atom_site_type_symbol
_atom_site_fract_x
_atom_site_fract_y
_atom_site_fract_z
_atom_site_occupancy
Sc1 Sc 0.000 0.000 0.000 1
Mn1 Mn 0.100 0.250 0.625 1
O1 O 0.000 0.000 0.500 1
# - energy (hartree per atom) = -0.2497
# - DOS at the Fermi energy (states/eV per atom) = 0.70